Density functional theory data (GGA-PBE) for a relaxed structure of AgSn3Pd5.

Unit cell a=5.708 b=7.995 c=7.995 alpha=120.00 beta=90.00 gamma=90.00
Fractional positions:
1 Pd 0.750 0.000 0.307
2 Pd 0.250 0.693 0.000
3 Pd 0.250 0.000 0.693
4 Pd 0.250 0.307 0.307
5 Pd 0.750 0.307 0.000
6 Pd 0.000 0.333 0.667
7 Pd 0.500 0.333 0.667
8 Pd 0.500 0.667 0.333
9 Pd 0.000 0.667 0.333
10 Pd 0.750 0.693 0.693
11 Sn 0.250 0.000 0.361
12 Sn 0.250 0.361 0.000
13 Sn 0.750 0.000 0.639
14 Sn 0.750 0.639 0.000
15 Sn 0.750 0.361 0.361
16 Sn 0.250 0.639 0.639
17 Ag 0.000 0.000 0.000
18 Ag 0.500 0.000 0.000

## Properties
D(E_F) in states/eV/f.u.: 2.9
Calculated formation energy in meV/atom: -462
Symmetry: P6_3/mcm (193)

=====

Density functional theory data (GGA-PBE) for a relaxed structure of AgSnPd6.

Unit cell a=6.968 b=7.578 c=5.131 alpha=42.89 beta=47.38 gamma=57.66
Fractional positions:
1 Pd 0.052 0.548 0.150
2 Pd 0.948 0.452 0.850
3 Pd 0.456 0.249 0.343
4 Pd 0.750 0.946 0.758
5 Pd 0.250 0.054 0.242
6 Pd 0.544 0.751 0.657
7 Sn 0.500 0.500 0.500
8 Ag 0.000 0.000 0.000

## Properties
D(E_F) in states/eV/f.u.: 5.9
Calculated formation energy in meV/atom: -149
Energy above the lowest structure with this stoichiometry in meV per atom: 89
Symmetry: P-1 (2)

=====

Density functional theory data (GGA-PBE) for a relaxed structure of AgSn6Pd12.

Unit cell a=7.485 b=7.485 c=7.485 alpha=107.51 beta=107.51 gamma=107.51
Fractional positions:
1 Pd 0.281 0.833 0.102
2 Pd 0.598 0.183 0.484
3 Pd 0.102 0.281 0.833
4 Pd 0.817 0.516 0.402
5 Pd 0.719 0.167 0.898
6 Pd 0.402 0.817 0.516
7 Pd 0.183 0.484 0.598
8 Pd 0.833 0.102 0.281
9 Pd 0.484 0.598 0.183
10 Pd 0.167 0.898 0.719
11 Pd 0.516 0.402 0.817
12 Pd 0.898 0.719 0.167
13 Sn 0.213 0.094 0.462
14 Sn 0.094 0.462 0.213
15 Sn 0.906 0.538 0.787
16 Sn 0.462 0.213 0.094
17 Sn 0.538 0.787 0.906
18 Sn 0.787 0.906 0.538
19 Ag 0.000 0.000 0.000

## Properties
D(E_F) in states/eV/f.u.: 6.8
Calculated formation energy in meV/atom: -420
Symmetry: R-3 (148)

=====

Density functional theory data (GGA-PBE) for a relaxed structure of Ag2SnPd6.

Unit cell a=2.892 b=7.611 c=7.979 alpha=118.48 beta=90.12 gamma=90.00
Fractional positions:
1 Pd 0.000 0.656 0.677
2 Pd 0.000 0.344 0.323
3 Pd 0.000 0.021 0.677
4 Pd 0.500 0.316 0.000
5 Pd 0.500 0.684 0.000
6 Pd 0.000 0.979 0.323
7 Sn 0.000 0.000 0.000
8 Ag 0.499 0.685 0.369
9 Ag 0.501 0.315 0.631

## Properties
D(E_F) in states/eV/f.u.: 4.9
Calculated formation energy in meV/atom: -86
Energy above the lowest structure with this stoichiometry in meV per atom: 126
Symmetry: C2/m (12)